Zn2CdW | PBE | optimized geometry

Results
- space-group type = Cmmm (65)
- raw total energy (Ry/atom) = -0.284
- size of the total moment (μB per formula unit) = 0.000

Unit cell a=2.7687 b=2.7687 c=8.9019 alpha=90.00 beta=90.00 gamma=102.93
Element x y z (fractional)
Zn  0.0000  0.0000  0.2323
Zn  0.0000  0.0000  0.7677
Cd  0.5000  0.5000  0.5000
W  0.5000  0.5000  0.0000